SbSO4: optimized geometry, PBE-GGA.

```
data_SbSO4
_cell_length_a 5.675
_cell_length_b 6.552
_cell_length_c 11.717
_cell_angle_alpha 90.00
_cell_angle_beta 95.62
_cell_angle_gamma 90.00
_space_group_name_H-M_alt 'P 1 21/c 1'
_space_group_IT_number 14
loop_
_space_group_symop_operation_xyz
'x,y,z'
'-x,-y,-z'
'-x,y+1/2,-z+1/2'
'x,-y+1/2,z+1/2'
loop_
_atom_site_label
_atom_site_type_symbol
_atom_site_fract_x
_atom_site_fract_y
_atom_site_fract_z
Sb1 Sb 0.139 0.163 0.067
S1 S 0.210 0.501 0.846
O1 O 0.065 0.143 0.409
O2 O 0.089 0.520 0.727
O3 O 0.186 0.716 0.901
O4 O 0.458 0.049 0.351
```

Calculated values
The energy above the most stable polymorph in this dataset comes out at 0 meV per atom. For the total energy, the calculation gives -5.8432 eV per atom. The density of states at the Fermi level is 0.0 states/eV/f.u. The total magnetization comes out at 0.00 μB per cell.

---

Sm5P4Br: optimized geometry, PBE-GGA.

```
data_Sm5P4Br
_cell_length_a 13.744
_cell_length_b 4.115
_cell_length_c 10.204
_cell_angle_alpha 90.00
_cell_angle_beta 119.87
_cell_angle_gamma 90.00
_space_group_name_H-M_alt 'C 1 2/m 1'
_space_group_IT_number 12
loop_
_space_group_symop_operation_xyz
'x,y,z'
'-x,-y,-z'
'-x,y,-z'
'x,-y,z'
'x+1/2,y+1/2,z'
'-x+1/2,-y+1/2,-z'
'-x+1/2,y+1/2,-z'
'x+1/2,-y+1/2,z'
loop_
_atom_site_label
_atom_site_type_symbol
_atom_site_fract_x
_atom_site_fract_y
_atom_site_fract_z
Sm1 Sm 0.000 0.000 0.000
Sm2 Sm 0.112 0.500 0.384
Sm3 Sm 0.208 0.000 0.819
P1 P 0.096 0.500 0.893
P2 P 0.207 0.000 0.300
Br1 Br 0.000 0.000 0.500
```

Calculated values
For the total energy, the calculation gives -6.2674 eV per atom. The density of states at the Fermi level is 3.3 states/eV/f.u. The total magnetization comes out at 0.00 μB per cell.

---

Ce5Ge2PN: optimized geometry, PBE-GGA.

```
data_Ce5Ge2PN
_cell_length_a 4.560
_cell_length_b 4.560
_cell_length_c 10.964
_cell_angle_alpha 90.00
_cell_angle_beta 90.00
_cell_angle_gamma 90.00
_space_group_name_H-M_alt 'P 4/m m m'
_space_group_IT_number 123
_space_group_name_Hall '-P 4 2'
loop_
_atom_site_label
_atom_site_type_symbol
_atom_site_fract_x
_atom_site_fract_y
_atom_site_fract_z
Ce1 Ce 0.000 0.000 0.000
Ce2 Ce 0.000 0.500 0.500
Ce3 Ce 0.500 0.500 0.253
Ge1 Ge 0.000 0.000 0.292
P1 P 0.500 0.500 0.000
N1 N 0.500 0.500 0.500
```

Calculated values
For the total energy, the calculation gives -6.7354 eV per atom. The density of states at the Fermi level is 25.6 states/eV/f.u. The total magnetization comes out at 4.03 μB per cell.

---

Tb8YCd6: optimized geometry, PBE-GGA.

```
data_Tb8YCd6
_cell_length_a 8.9941
_cell_length_b 8.9941
_cell_length_c 19.1772
_cell_angle_alpha 90.00
_cell_angle_beta 90.00
_cell_angle_gamma 120.00
_space_group_name_H-M_alt 'R -3'
_space_group_IT_number 148
_space_group_name_Hall '-R 3'
loop_
_atom_site_label
_atom_site_type_symbol
_atom_site_fract_x
_atom_site_fract_y
_atom_site_fract_z
Tb1 Tb 0.0000 0.0000 0.1660
Tb2 Tb 0.0008 0.6657 0.3835
Y1 Y 0.0000 0.0000 0.5000
Cd1 Cd 0.0001 0.3326 0.4487
```

Calculated values
The value obtained for the formation energy is -77 meV per atom. For the total energy, the calculation gives -3.3435 eV per atom. The density of states at the Fermi level is 18.5 states/eV/f.u. The total magnetization comes out at 3.80 μB per cell.

---

Cr2MoRh: optimized geometry, PBE-GGA.

```
data_Cr2MoRh
_cell_length_a 2.842
_cell_length_b 2.842
_cell_length_c 6.658
_cell_angle_alpha 90.00
_cell_angle_beta 90.00
_cell_angle_gamma 90.00
_space_group_name_H-M_alt 'P 4 m m'
_space_group_IT_number 99
loop_
_space_group_symop_operation_xyz
'x,y,z'
'-y,x,z'
'-x,-y,z'
'y,-x,z'
'-x,y,z'
'y,x,z'
'x,-y,z'
'-y,-x,z'
loop_
_atom_site_label
_atom_site_type_symbol
_atom_site_fract_x
_atom_site_fract_y
_atom_site_fract_z
Cr1 Cr 0.000 0.000 0.000
Cr2 Cr 0.500 0.500 0.185
Mo1 Mo 0.000 0.000 0.453
Rh1 Rh 0.500 0.500 0.741
```

Calculated values
The value obtained for the formation energy is 37 meV per atom. For the total energy, the calculation gives -9.3203 eV per atom. The density of states at the Fermi level is 3.4 states/eV/f.u. The total magnetization comes out at 0.26 μB per cell.

---

In2Ag2Pb: optimized geometry, PBE-GGA.

```
data_In2Ag2Pb
_cell_length_a 4.319
_cell_length_b 4.319
_cell_length_c 13.259
_cell_angle_alpha 90.00
_cell_angle_beta 90.00
_cell_angle_gamma 90.00
_space_group_name_H-M_alt 'I 4/m m m'
_space_group_IT_number 139
_space_group_name_Hall '-I 4 2'
loop_
_atom_site_label
_atom_site_type_symbol
_atom_site_fract_x
_atom_site_fract_y
_atom_site_fract_z
In1 In 0.000 0.500 0.250
Ag1 Ag 0.000 0.000 0.103
Pb1 Pb 0.000 0.000 0.500
```

Calculated values
The value obtained for the formation energy is 87 meV per atom. The energy above the most stable polymorph in this dataset comes out at 43 meV per atom. For the total energy, the calculation gives -2.8907 eV per atom. The density of states at the Fermi level is 2.6 states/eV/f.u. The total magnetization comes out at 0.00 μB per cell.

---

K2ThPbS4: optimized geometry, PBE-GGA.

```
data_K2ThPbS4
_cell_length_a 7.424
_cell_length_b 4.261
_cell_length_c 7.729
_cell_angle_alpha 90.00
_cell_angle_beta 108.15
_cell_angle_gamma 90.00
_space_group_name_H-M_alt 'P 1 2/m 1'
_space_group_IT_number 10
loop_
_space_group_symop_operation_xyz
'x,y,z'
'-x,-y,-z'
'-x,y,-z'
'x,-y,z'
loop_
_atom_site_label
_atom_site_type_symbol
_atom_site_fract_x
_atom_site_fract_y
_atom_site_fract_z
K1 K 0.000 0.000 0.000
K2 K 0.500 0.500 0.000
Th1 Th 0.000 0.500 0.500
Pb1 Pb 0.500 0.000 0.500
S1 S 0.218 0.000 0.706
S2 S 0.239 0.500 0.289
```

Calculated values
For the total energy, the calculation gives -5.1560 eV per atom. The density of states at the Fermi level is 0.0 states/eV/f.u. The total magnetization comes out at 0.00 μB per cell.

---

Co2RhW: optimized geometry, PBE-GGA.

```
data_Co2RhW
_cell_length_a 5.279
_cell_length_b 7.223
_cell_length_c 2.687
_cell_angle_alpha 90.00
_cell_angle_beta 90.00
_cell_angle_gamma 90.00
_space_group_name_H-M_alt 'C m m m'
_space_group_IT_number 65
_space_group_name_Hall '-C 2 2'
loop_
_atom_site_label
_atom_site_type_symbol
_atom_site_fract_x
_atom_site_fract_y
_atom_site_fract_z
Co1 Co 0.250 0.250 0.000
Rh1 Rh 0.000 0.000 0.500
W1 W 0.000 0.500 0.500
```

Calculated values
The value obtained for the formation energy is 57 meV per atom. The energy above the most stable polymorph in this dataset comes out at 133 meV per atom. For the total energy, the calculation gives -8.5721 eV per atom. The density of states at the Fermi level is 4.9 states/eV/f.u. The total magnetization comes out at 2.45 μB per cell.

---

BaLa2TlCo: optimized geometry, PBE-GGA.

```
data_BaLa2TlCo
_cell_length_a 5.428
_cell_length_b 5.428
_cell_length_c 5.375
_cell_angle_alpha 90.00
_cell_angle_beta 90.00
_cell_angle_gamma 90.00
_space_group_name_H-M_alt 'P 4/m m m'
_space_group_IT_number 123
_space_group_name_Hall '-P 4 2'
loop_
_atom_site_label
_atom_site_type_symbol
_atom_site_fract_x
_atom_site_fract_y
_atom_site_fract_z
Ba1 Ba 0.000 0.000 0.000
La1 La 0.000 0.500 0.500
Tl1 Tl 0.500 0.500 0.000
Co1 Co 0.500 0.500 0.500
```

Calculated values
The value obtained for the formation energy is -88 meV per atom. The energy above the most stable polymorph in this dataset comes out at 0 meV per atom. For the total energy, the calculation gives -4.3384 eV per atom. The density of states at the Fermi level is 4.8 states/eV/f.u. The total magnetization comes out at 0.00 μB per cell.

---

KLiLa2: optimized geometry, PBE-GGA.

```
data_KLiLa2
_cell_length_a 8.362
_cell_length_b 8.362
_cell_length_c 8.362
_cell_angle_alpha 90.00
_cell_angle_beta 90.00
_cell_angle_gamma 90.00
_space_group_name_H-M_alt 'F -4 3 m'
_space_group_IT_number 216
_space_group_name_Hall 'F -4 2 3'
loop_
_atom_site_label
_atom_site_type_symbol
_atom_site_fract_x
_atom_site_fract_y
_atom_site_fract_z
K1 K 0.000 0.000 0.000
Li1 Li 0.250 0.250 0.250
La1 La 0.000 0.000 0.500
La2 La 0.250 0.250 0.750
```

Calculated values
The value obtained for the formation energy is 508 meV per atom. The energy above the most stable polymorph in this dataset comes out at 344 meV per atom. For the total energy, the calculation gives -2.7089 eV per atom. The density of states at the Fermi level is 5.1 states/eV/f.u. The total magnetization comes out at 0.42 μB per cell.

---

SrLiCN2: optimized geometry, PBE-GGA.

```
data_SrLiCN2
_cell_length_a 5.781
_cell_length_b 3.862
_cell_length_c 6.184
_cell_angle_alpha 90.00
_cell_angle_beta 105.83
_cell_angle_gamma 90.00
_space_group_name_H-M_alt 'P 1 2/c 1'
_space_group_IT_number 13
loop_
_space_group_symop_operation_xyz
'x,y,z'
'-x,-y,-z'
'-x,y,-z+1/2'
'x,-y,z+1/2'
loop_
_atom_site_label
_atom_site_type_symbol
_atom_site_fract_x
_atom_site_fract_y
_atom_site_fract_z
Sr1 Sr 0.000 0.226 0.250
Li1 Li 0.500 0.022 0.750
C1 C 0.500 0.500 0.000
N1 N 0.326 0.290 0.962
```

Calculated values
For the total energy, the calculation gives -6.2891 eV per atom. The density of states at the Fermi level is 1.6 states/eV/f.u. The total magnetization comes out at 0.68 μB per cell.

---

Zn2CdSe: optimized geometry, PBE-GGA.

```
data_Zn2CdSe
_cell_length_a 3.780
_cell_length_b 3.785
_cell_length_c 6.142
_cell_angle_alpha 90.00
_cell_angle_beta 90.00
_cell_angle_gamma 90.00
_space_group_name_H-M_alt 'P m m m'
_space_group_IT_number 47
loop_
_space_group_symop_operation_xyz
'x,y,z'
'-x,-y,-z'
'-x,-y,z'
'x,y,-z'
'x,-y,-z'
'-x,y,z'
'-x,y,-z'
'x,-y,z'
loop_
_atom_site_label
_atom_site_type_symbol
_atom_site_fract_x
_atom_site_fract_y
_atom_site_fract_z
Zn1 Zn 0.000 0.000 0.000
Zn2 Zn 0.500 0.000 0.500
Cd1 Cd 0.000 0.500 0.500
Se1 Se 0.500 0.500 0.000
```

Calculated values
The energy above the most stable polymorph in this dataset comes out at 151 meV per atom. For the total energy, the calculation gives -1.6840 eV per atom. The density of states at the Fermi level is 2.4 states/eV/f.u. The total magnetization comes out at 0.00 μB per cell.